# 1
LaBeGa2Ru2: relaxed, PBE.

Cell lengths 4.3382, 4.3382, 5.5685 Å; angles 90.00, 90.00, 90.00 degrees
Element x y z (fractional)
Ru 0.5000 0.0000 0.0000
Ru 0.0000 0.5000 0.0000
La 0.0000 0.0000 0.5000
Be 0.0000 0.0000 0.0000
Ga 0.5000 0.5000 0.2546
Ga 0.5000 0.5000 0.7454

Properties
* DFT total energy: -36.08 eV per formula unit
* density of states at the Fermi level: 0.463 states/eV/atom
* DFT formation energy: -45.4 kJ/mol of atoms
* volume: 104.80 Å³/f.u.
* size of the total moment: 0.00 μB/atom

---

# 2
LaBe2GaSi: relaxed, PBE.

Cell lengths 5.3529, 5.4553, 5.3529 Å; angles 90.00, 90.00, 90.00 degrees
Element x y z (fractional)
Si 0.0000 0.5000 0.0000
La 0.0000 0.0000 0.0000
Be 0.0000 0.0000 0.5000
Be 0.5000 0.0000 0.0000
Ga 0.5000 0.5000 0.5000

Properties
* DFT total energy: -12.55 eV per formula unit
* density of states at the Fermi level: 0.972 states/eV/atom
* raw formation energy: 1.66 eV/atom
* volume: 156.31 Å³/f.u.
* size of the total moment: 0.00 μB/atom